Compound: BaRe2Ir
Source: Alexandria
Functional: PBEsol
Structure: optimized geometry

Computed properties:
The calculation puts the energy of formation at 2.8 eV/f.u.

Cell lengths 8.823, 3.033, 6.733 Å; angles 90.00, 101.34, 90.00 degrees
Atoms (fractional coordinates):
Ba (0.000, 0.000, 0.000)
Ba (0.500, 0.500, 0.000)
Re (0.007, 0.500, 0.492)
Re (0.288, 0.500, 0.381)
Re (0.507, 0.000, 0.492)
Re (0.788, 0.000, 0.381)
Ir (0.229, 0.000, 0.667)
Ir (0.729, 0.500, 0.667)